# 1
The following is a PBE calculation of a relaxed DyTm2Zn6 crystal, from Alexandria via LeMat-Bulk.

POSCAR file:
```
DyTm2Zn6
1.0
7.712 0.000 0.000
-3.856 6.679 0.000
0.000 0.000 3.456
Dy Tm Zn
1 2 6
direct
0.000 0.000 0.000
0.333 0.667 0.000
0.667 0.333 0.000
0.000 0.334 0.500
0.000 0.666 0.500
0.334 0.000 0.500
0.334 0.334 0.500
0.666 0.000 0.500
0.666 0.666 0.500
```

Results
D(E_F), states/eV per atom: 0.623
Calculated volume, Å³ per cell: 178.0
Magnetic moment, μB/cell: 0.00

---

# 2
The following is a PBE calculation of a relaxed Ni2HSe4 crystal, from Alexandria via LeMat-Bulk.

POSCAR file:
```
Ni2HSe4
1.0
6.406 -3.572 0.000
6.406 3.572 0.000
-2.621 0.000 5.802
Ni H Se
4 2 8
direct
0.000 0.000 0.000
0.000 0.000 0.500
0.000 0.500 0.000
0.500 0.000 0.000
0.400 0.400 0.838
0.600 0.600 0.162
0.189 0.721 0.228
0.206 0.206 0.207
0.272 0.272 0.768
0.279 0.811 0.772
0.721 0.189 0.228
0.728 0.728 0.232
0.794 0.794 0.793
0.811 0.279 0.772
```

Results
D(E_F), states/eV per atom: 0.264
Calculated volume, Å³ per cell: 265.6
Magnetic moment, μB/cell: 0.00

---

# 3
The following is a PBE calculation of a relaxed BeZnIn2 crystal, from Alexandria via LeMat-Bulk.

POSCAR file:
```
BeZnIn2
1.0
3.101 -4.108 0.000
3.101 4.108 0.000
-0.146 0.000 3.009
Be Zn In
1 1 2
direct
0.000 0.000 0.000
0.500 0.500 0.000
0.000 0.500 0.500
0.500 0.000 0.500
```

Results
D(E_F), states/eV per atom: 0.419
Calculated volume, Å³ per cell: 76.7
Magnetic moment, μB/cell: 0.00

---

# 4
The following is a PBE calculation of a relaxed TbNdDyAg crystal, from Alexandria via LeMat-Bulk.

POSCAR file:
```
TbNdDyAg
1.0
3.652 0.000 0.000
0.000 3.652 0.000
0.000 0.000 8.667
Tb Nd Dy Ag
1 1 1 1
direct
0.000 0.000 0.000
0.500 0.500 0.292
0.000 0.000 0.584
0.500 0.500 0.790
```

Results
D(E_F), states/eV per atom: 1.448
Calculated volume, Å³ per cell: 115.6
Energy relative to the lowest polymorph listed for this composition, meV per atom: 0
Magnetic moment, μB/cell: 0.00

---

E_tot, record by record: -2.7349; -4.2868; -2.2023; -4.3438 eV per atom